# 1
Density functional theory data (PBE) for crystalline Np2Be3NiP4 at its relaxed geometry.

Unit cell a=3.9983 b=3.9983 c=8.6249 alpha=90.00 beta=90.00 gamma=90.00
Last column: nearest neighbours and their distance in Å.
Space group P-4m2 (No. 115)
Unique sites:
Np1 0.0000 0.5000 0.2393 (multiplicity 2)  8 P 2.87-3.02, 7 Be 3.01-3.04, 2 Ni 3.01
Be1 0.0000 0.5000 0.8890 (multiplicity 2)  5 P 2.17-2.22
Be2 0.5000 0.5000 0.5000 (multiplicity 1)  4 P 2.32
Ni1 0.0000 0.0000 0.5000 (multiplicity 1)  4 P 2.32
P1 0.0000 0.0000 0.0000 (multiplicity 1)  4 Be 2.22
P2 0.0000 0.5000 0.6370 (multiplicity 2)  3 Be 2.17-2.32, 2 Ni 2.32
P3 0.5000 0.5000 0.0000 (multiplicity 1)  4 Be 2.22

Calculated values
For the energy of formation, the calculation gives -445 meV/atom. As for the total magnetic moment: 7.92 Bohr magnetons per cell. The value obtained for the total energy is -6.89 eV/atom.

=====

# 2
Density functional theory data (PBE) for crystalline Np2BeNi3P4 at its relaxed geometry.

Unit cell a=3.9945 b=3.9945 c=8.9456 alpha=90.00 beta=90.00 gamma=90.00
Last column: nearest neighbours and their distance in Å.
Space group P-4m2 (No. 115)
Unique sites:
Np1 0.0000 0.5000 0.2480 (multiplicity 2)  8 P 2.98-3.02, 7 Ni 3.01-3.24, 2 Be 3.01
Be1 0.0000 0.0000 0.5000 (multiplicity 1)  4 P 2.33
Ni1 0.0000 0.5000 0.8856 (multiplicity 2)  5 P 2.24-2.26
Ni2 0.5000 0.5000 0.5000 (multiplicity 1)  4 P 2.33
P1 0.0000 0.0000 0.0000 (multiplicity 1)  4 Ni 2.24
P2 0.0000 0.5000 0.6333 (multiplicity 2)  3 Ni 2.26-2.33, 2 Be 2.33
P3 0.5000 0.5000 0.0000 (multiplicity 1)  4 Ni 2.24

Calculated values
For the energy of formation, the calculation gives -638 meV/atom. As for the total magnetic moment: 7.62 Bohr magnetons per cell. The value obtained for the total energy is -7.50 eV/atom.